[1]
{"formula": "BaCu6P2", "functional": "GGA-PBE", "state": "relaxed", "crystal_system": "tetragonal", "sg": "P4/mmm, No. 123", "energy_ev_per_atom": -4.21, "lattice_angstrom": [[4.1050, 0.0000, 0.0000], [0.0000, 4.1050, 0.0000], [0.0000, 0.0000, 8.6068]], "species": ["Ba", "Cu", "Cu", "Cu", "Cu", "Cu", "Cu", "P", "P"], "frac_coords": [[0.0000, 0.0000, 0.0000], [0.0000, 0.0000, 0.5000], [0.0000, 0.5000, 0.3272], [0.0000, 0.5000, 0.6728], [0.5000, 0.0000, 0.3272], [0.5000, 0.0000, 0.6728], [0.5000, 0.5000, 0.5000], [0.5000, 0.5000, 0.2071], [0.5000, 0.5000, 0.7929]]}



[2]
{"formula": "LiBiPd2", "functional": "GGA-PBE", "state": "relaxed", "crystal_system": "cubic", "sg": "F-43m, No. 216", "energy_ev_per_atom": -4.47, "lattice_angstrom": [[0.0000, 3.2732, 3.2732], [3.2732, 0.0000, 3.2732], [3.2732, 3.2732, 0.0000]], "species": ["Li", "Bi", "Pd", "Pd"], "frac_coords": [[0.0000, 0.0000, 0.0000], [0.7500, 0.7500, 0.7500], [0.2500, 0.2500, 0.2500], [0.5000, 0.5000, 0.5000]]}



[3]
{"formula": "KErCd", "functional": "GGA-PBE", "state": "relaxed", "magnetic_moment_mub_per_cell": 0.55, "crystal_system": "cubic", "sg": "F-43m, No. 216", "e_above_lowest_polymorph_ev_per_atom": 0.000, "energy_ev_per_atom": -1.51, "lattice_angstrom": [[0.0000, 3.7983, 3.7983], [3.7983, 0.0000, 3.7983], [3.7983, 3.7983, 0.0000]], "species": ["K", "Er", "Cd"], "frac_coords": [[0.0000, 0.0000, 0.0000], [0.7500, 0.7500, 0.7500], [0.5000, 0.5000, 0.5000]]}



[4]
{"formula": "ZnSnSO", "functional": "GGA-PBE", "state": "relaxed", "crystal_system": "tetragonal", "sg": "P4/nmm, No. 129", "e_above_lowest_polymorph_ev_per_atom": 0.133, "energy_ev_per_atom": -4.40, "lattice_angstrom": [[3.8687, 0.0000, 0.0000], [0.0000, 3.8687, 0.0000], [0.0000, 0.0000, 9.1896]], "species": ["Zn", "Zn", "Sn", "Sn", "S", "S", "O", "O"], "frac_coords": [[0.2500, 0.2500, 0.1001], [0.7500, 0.7500, 0.8999], [0.2500, 0.2500, 0.3797], [0.7500, 0.7500, 0.6203], [0.2500, 0.2500, 0.8551], [0.7500, 0.7500, 0.1449], [0.2500, 0.7500, 0.5000], [0.7500, 0.2500, 0.5000]]}



[5]
{"formula": "YBPt3", "functional": "GGA-PBE", "state": "relaxed", "magnetic_moment_mub_per_cell": 0.00, "crystal_system": "cubic", "sg": "Pm-3m, No. 221", "energy_ev_per_atom": -7.00, "lattice_angstrom": [[4.3375, 0.0000, 0.0000], [0.0000, 4.3375, 0.0000], [0.0000, 0.0000, 4.3375]], "species": ["Y", "B", "Pt", "Pt", "Pt"], "frac_coords": [[0.0000, 0.0000, 0.0000], [0.5000, 0.5000, 0.5000], [0.0000, 0.5000, 0.5000], [0.5000, 0.0000, 0.5000], [0.5000, 0.5000, 0.0000]]}



[6]
{"formula": "Nd3Fe", "functional": "GGA-PBE", "state": "relaxed", "magnetic_moment_mub_per_cell": 0.02, "crystal_system": "cubic", "formation_enthalpy_0k_ev_per_atom": 0.523, "sg": "Fm-3m, No. 225", "energy_ev_per_atom": -5.13, "lattice_angstrom": [[0.0000, 3.7262, 3.7262], [3.7262, 0.0000, 3.7262], [3.7262, 3.7262, 0.0000]], "species": ["Nd", "Nd", "Nd", "Fe"], "frac_coords": [[0.0000, 0.0000, 0.0000], [0.2500, 0.2500, 0.2500], [0.7500, 0.7500, 0.7500], [0.5000, 0.5000, 0.5000]]}